{"formula": "In2Hg", "functional": "PBE-GGA", "state": "optimized geometry", "lattice_angstrom": [[-3.561, 3.909, -5.235], [-5.335, -0.478, -5.165], [2.839, -1.040, 6.799]], "species": ["Hg", "In", "In"], "fractional_positions": [[0.000, 0.000, 0.000], [0.662, 0.662, 0.000], [0.338, 0.338, 0.000]], "polymorph_energy_mev_per_atom": 6, "spacegroup": "I4/mmm"}

***

{"formula": "Sr3Sm2Cd3", "functional": "PBE-GGA", "state": "optimized geometry", "lattice_angstrom": [[-2.825, 2.212, -1.660], [-2.603, -4.755, -1.908], [-3.620, 0.713, 11.818]], "species": ["Sr", "Sr", "Sr", "Sm", "Sm", "Cd", "Cd", "Cd"], "fractional_positions": [[0.379, 0.379, 0.757], [0.621, 0.621, 0.243], [0.500, 0.000, 0.000], [0.267, 0.767, 0.533], [0.733, 0.233, 0.467], [0.874, 0.874, 0.749], [0.000, 0.500, 0.000], [0.126, 0.126, 0.251]], "spacegroup": "Immm"}

***

{"formula": "ThNiPdAu", "functional": "PBE-GGA", "state": "optimized geometry", "lattice_angstrom": [[4.770, 0.000, 0.000], [2.385, 4.131, 0.000], [2.385, 1.377, 3.894]], "species": ["Ni", "Au", "Pd", "Th"], "fractional_positions": [[0.250, 0.250, 0.250], [0.500, 0.500, 0.500], [0.750, 0.750, 0.750], [0.000, 0.000, 0.000]], "spacegroup": "F-43m"}

***

Record-wise E values, in eV/cell: -5.8; -19.0; -23.7
Record-wise formation energy from the elements values, in eV/atom: 0.009; -0.219; -0.504